Entry 1:
Fe2SiPbAu: optimized geometry, GGA-PBE.

final energy	-22.81	eV per cell
D(E_F)	7.7	states/eV/f.u.
formation energy from raw total energies	1.30	eV per atom

abc: 4.8348 4.8348 5.4345
angles: 90.00 90.00 90.00
Fractional positions:
Fe: 0.0000 0.5000 0.0000
Fe: 0.5000 0.0000 0.0000
Si: 0.0000 0.0000 0.5000
Pb: 0.5000 0.5000 0.5000
Au: 0.5000 0.5000 0.0000

=====

Entry 2:
Fe2Pd7Au3: optimized geometry, GGA-PBE.

final energy	-61.37	eV per cell
D(E_F)	6.9	states/eV/f.u.
formation energy from the elements	0.14	eV/atom

abc: 10.2638 10.2638 4.5763
angles: 90.00 90.00 154.54
Fractional positions:
Fe: 0.1472 0.8528 0.0000
Fe: 0.8528 0.1472 0.0000
Pd: 0.0000 0.0000 0.0000
Pd: 0.0807 0.9193 0.5000
Pd: 0.2796 0.7204 0.0000
Pd: 0.4202 0.5798 0.0000
Pd: 0.5798 0.4202 0.0000
Pd: 0.7204 0.2796 0.0000
Pd: 0.9193 0.0807 0.5000
Au: 0.3422 0.6578 0.5000
Au: 0.5000 0.5000 0.5000
Au: 0.6578 0.3422 0.5000

=====

Entry 3:
FePd4Au3: optimized geometry, GGA-PBE.

final energy	-39.73	eV per cell
D(E_F)	5.3	states/eV/f.u.
formation energy from the elements	-0.08	eV/atom

abc: 2.8423 2.8423 15.8458
angles: 90.00 90.00 90.00
Fractional positions:
Fe: 0.0000 0.0000 0.0000
Pd: 0.5000 0.5000 0.1081
Pd: 0.5000 0.5000 0.3702
Pd: 0.5000 0.5000 0.6298
Pd: 0.5000 0.5000 0.8919
Au: 0.0000 0.0000 0.2409
Au: 0.0000 0.0000 0.5000
Au: 0.0000 0.0000 0.7591